1.
The following is a DFT calculation (SCAN) of Zn3Mo at its PBEsol-relaxed geometry.

Geometry as extended XYZ:
```
4
Lattice="3.8040 0.0000 0.0000 0.0000 3.8040 0.0000 0.0000 0.0000 3.8040" Properties=species:S:1:pos:R:3 pbc="T T T"
Zn 0.0000 0.0000 1.9020
Zn 0.0000 1.9020 0.0000
Zn 1.9020 0.0000 0.0000
Mo 1.9020 1.9020 1.9020
```

Summary:
* crystal system: cubic
* SG: No. 221
* N(E_F): 0.1786 states/eV per atom
* E_form: -0.0876 eV/atom


2.
The following is a DFT calculation (SCAN) of Zn3Mo at its PBEsol-relaxed geometry.

Geometry as extended XYZ:
```
16
Lattice="5.3692 0.0000 0.0000 -2.6846 4.6499 0.0000 0.0000 0.0000 8.8486" Properties=species:S:1:pos:R:3 pbc="T T T"
Zn -1.3423 2.3249 0.0000
Zn -1.3423 2.3249 4.4243
Zn 0.0000 1.5489 2.2122
Zn -1.3432 3.8755 2.2122
Zn 1.3414 0.7744 6.6365
Zn 2.6846 0.0000 0.0000
Zn 2.6846 0.0000 4.4243
Zn 1.3423 2.3249 0.0000
Zn 1.3423 2.3249 4.4243
Zn 1.3432 3.8755 2.2122
Zn 4.0279 0.7744 6.6365
Zn 2.6846 3.1010 6.6365
Mo 0.0000 0.0000 0.0000
Mo 0.0000 0.0000 4.4243
Mo 0.0000 3.0999 6.6365
Mo 2.6846 1.5500 2.2122
```

Summary:
* crystal system: hexagonal
* SG: No. 194
* N(E_F): 0.2776 states/eV per atom
* E_form: -0.0231 eV/atom


3.
The following is a DFT calculation (SCAN) of Zn22Mo at its PBEsol-relaxed geometry.

Geometry as extended XYZ:
```
46
Lattice="0.0000 6.8530 6.8530 6.8530 0.0000 6.8530 6.8530 6.8530 0.0000" Properties=species:S:1:pos:R:3 pbc="T T T"
Zn 0.0000 0.0000 0.0000
Zn 3.4265 3.4265 0.0000
Zn 3.4265 0.0000 3.4265
Zn 6.8530 3.4265 3.4265
Zn 5.1397 5.1397 0.2195
Zn 5.1397 0.2195 5.1397
Zn 10.0600 5.1397 5.1397
Zn 4.2743 4.2743 2.4895
Zn 6.0052 6.0052 2.4895
Zn 4.2743 2.4895 4.2743
Zn 7.7900 6.0052 4.2743
Zn 6.0052 2.4895 6.0052
Zn 7.7900 4.2743 6.0052
Zn 8.5662 8.5662 3.6460
Zn 8.5662 3.6460 8.5662
Zn 13.4865 8.5662 8.5662
Zn 9.4317 7.7008 5.9160
Zn 9.4317 5.9160 7.7008
Zn 11.2165 7.7008 7.7008
Zn 2.4895 4.2743 4.2743
Zn 6.0052 7.7900 4.2743
Zn 6.0052 4.2743 7.7900
Zn 0.0000 3.4265 3.4265
Zn 3.4265 6.8530 3.4265
Zn 3.4265 3.4265 6.8530
Zn 6.8530 6.8530 6.8530
Zn 7.7008 9.4317 5.9160
Zn 7.7008 5.9160 9.4317
Zn 11.2165 9.4317 9.4317
Zn 2.4895 6.0052 6.0052
Zn 4.2743 7.7900 6.0052
Zn 4.2743 6.0052 7.7900
Zn 0.2195 5.1397 5.1397
Zn 5.1397 10.0600 5.1397
Zn 5.1397 5.1397 10.0600
Zn 5.9160 9.4317 7.7008
Zn 7.7008 11.2165 7.7008
Zn 5.9160 7.7008 9.4317
Zn 9.4317 11.2165 9.4317
Zn 7.7008 7.7008 11.2165
Zn 9.4317 9.4317 11.2165
Zn 3.6460 8.5662 8.5662
Zn 8.5662 13.4865 8.5662
Zn 8.5662 8.5662 13.4865
Mo 5.1397 5.1397 5.1397
Mo 8.5662 8.5662 8.5662
```

Summary:
* crystal system: cubic
* SG: No. 227
* N(E_F): 0.1523 states/eV per atom
* E_form: 0.0170 eV/atom


4.
The following is a DFT calculation (SCAN) of Zn3Mo at its PBEsol-relaxed geometry.

Geometry as extended XYZ:
```
4
Lattice="-1.3200 4.4147 2.4241 1.3200 -4.4147 2.4241 1.3200 4.4147 -2.4241" Properties=species:S:1:pos:R:3 pbc="T T T"
Zn 0.0000 0.0000 0.0000
Zn 1.3200 2.1999 -0.8951
Zn 0.0000 2.2149 1.5290
Mo 0.0000 4.4147 0.0126
```

Summary:
* crystal system: orthorhombic
* SG: No. 44
* N(E_F): 0.2659 states/eV per atom
* E_form: 0.0274 eV/atom


5.
The following is a DFT calculation (SCAN) of ZnMo2 at its PBEsol-relaxed geometry.

Geometry as extended XYZ:
```
3
Lattice="4.4140 0.0000 0.0000 -2.2070 3.8226 0.0000 0.0000 0.0000 2.6285" Properties=species:S:1:pos:R:3 pbc="T T T"
Zn 0.0000 0.0000 0.0000
Mo 0.0000 2.5484 0.9638
Mo 2.2070 1.2742 1.6648
```

Summary:
* offset from the most stable computed form: 0 meV per atom
* crystal system: trigonal
* SG: No. 164
* N(E_F): 0.2847 states/eV per atom
* E_form: 0.0372 eV/atom


6.
The following is a DFT calculation (SCAN) of Zr2ZnMo at its PBEsol-relaxed geometry.

Geometry as extended XYZ:
```
4
Lattice="1.7298 -2.3841 0.0000 1.7298 2.3841 0.0000 0.0000 0.0000 8.7964" Properties=species:S:1:pos:R:3 pbc="T T T"
Zr 0.0000 0.0000 2.1299
Zr 0.0000 0.0000 6.6665
Zn 1.7298 0.0000 4.3982
Mo 1.7298 0.0000 0.0000
```

Summary:
* crystal system: orthorhombic
* SG: No. 65
* N(E_F): 0.7945 states/eV per atom
* E_form: -0.0256 eV/atom


So what do the calculations give for magnetization? Going down the list: 0.00, 0.00, 0.00, 0.00, 0.00, 0.00 μB/atom.